# PBE+U ZnWO4, relaxed
data_ZnWO4
_symmetry_space_group_name_H-M 'C m c e'
_symmetry_Int_Tables_number 64
_symmetry_space_group_name_Hall '-C 2ac 2'
_cell_length_a 7.315
_cell_length_b 14.421
_cell_length_c 5.187
_cell_angle_alpha 90.00
_cell_angle_beta 90.00
_cell_angle_gamma 90.00
loop_
_atom_site_label
_atom_site_fract_x
_atom_site_fract_y
_atom_site_fract_z
Zn1 0.250 0.195 0.250
W1 0.000 0.091 0.674
O1 0.000 0.087 0.015
O2 0.000 0.191 0.419
O3 0.161 0.000 0.500
O4 0.250 0.161 0.750
# **Energy above the most stable polymorph in this dataset**: 202 kJ/mol of formula units